A relaxed structure of BaTiCd3. Source: Alexandria, functional PBE.

Summary:
Calculated formation energy = 0.17 eV/atom
Space group = Pm-3m, No. 221

a b c (Å): 5.4672 5.4672 5.4672
angles (deg): 90.00 90.00 90.00
Last column: nearest neighbours and their distance in Å.
Atoms (fractional coordinates):
Ba1 0.0000 0.0000 0.0000  12 Cd 3.87
Ti1 0.5000 0.5000 0.5000  6 Cd 2.73
Cd1 0.0000 0.5000 0.5000  2 Ti 2.73
Cd2 0.5000 0.0000 0.5000  2 Ti 2.73
Cd3 0.5000 0.5000 0.0000  2 Ti 2.73

A relaxed structure of NaHfMnBe2. Source: Alexandria, functional PBE.

Summary:
Calculated formation energy = 1.51 eV/atom
Space group = P4/mmm, No. 123

a b c (Å): 4.9394 4.9394 4.4945
angles (deg): 90.00 90.00 90.00
Last column: nearest neighbours and their distance in Å.
Atoms (fractional coordinates):
Na1 0.0000 0.0000 0.0000  8 Be 3.34, 4 Mn 3.49
Hf1 0.5000 0.5000 0.5000  2 Mn 2.25, 4 Be 2.47
Mn1 0.5000 0.5000 0.0000  2 Hf 2.25
Be1 0.0000 0.5000 0.5000  2 Hf 2.47
Be2 0.5000 0.0000 0.5000  2 Hf 2.47

A relaxed structure of YIrS2N. Source: Alexandria, functional PBE.

Summary:
Space group = P4/mmm, No. 123
E_form (uncorrected) = 1109.0 meV per atom

a b c (Å): 5.2130 5.2130 4.3278
angles (deg): 90.00 90.00 90.00
Last column: nearest neighbours and their distance in Å.
Atoms (fractional coordinates):
Y1 0.0000 0.0000 0.0000  2 N 2.16
Ir1 0.5000 0.5000 0.5000  8 S 3.39, 4 N 3.69
S1 0.0000 0.5000 0.0000  2 Y 2.61
S2 0.5000 0.0000 0.0000  2 Y 2.61
N1 0.0000 0.0000 0.5000  2 Y 2.16

A relaxed structure of Tb6Ni2Ge. Source: Alexandria, functional PBE.

Summary:
Calculated formation energy = -0.39 eV/atom
Space group = Immm, No. 71

a b c (Å): 8.3560 8.3560 8.3560
angles (deg): 113.19 108.96 106.34
Last column: nearest neighbours and their distance in Å.
Atoms (fractional coordinates):
Tb1 0.0390 0.2335 0.8054  1 Ni 2.76, 1 Ge 3.01
Tb2 0.1790 0.2849 0.4639  3 Ni 2.91-3.08, 1 Ge 3.15
Tb3 0.1790 0.7151 0.8941  3 Ni 2.91-3.08, 1 Ge 3.15
Tb4 0.3279 0.0191 0.6912  3 Ni 2.71-2.88
Tb5 0.3279 0.6368 0.3088  3 Ni 2.71-2.88
Tb6 0.4281 0.2335 0.1946  1 Ni 2.76, 1 Ge 3.01
Tb7 0.5719 0.7665 0.8054  1 Ni 2.76, 1 Ge 3.01
Tb8 0.6721 0.3632 0.6912  3 Ni 2.71-2.88
Tb9 0.6721 0.9809 0.3088  3 Ni 2.71-2.88
Tb10 0.8210 0.2849 0.1059  3 Ni 2.91-3.08, 1 Ge 3.15
Tb11 0.8210 0.7151 0.5361  3 Ni 2.91-3.08, 1 Ge 3.15
Tb12 0.9610 0.7665 0.1946  1 Ni 2.76, 1 Ge 3.01
Ni1 0.1224 0.6224 0.5000  1 Ni 2.45, 2 Tb 2.71
Ni2 0.3462 0.0000 0.3462  8 Tb 2.76-3.08, 1 Ni 2.99
Ni3 0.6538 0.0000 0.6538  8 Tb 2.76-3.08, 1 Ni 2.99
Ni4 0.8776 0.3776 0.5000  1 Ni 2.45, 2 Tb 2.71
Ge1 0.0000 0.0000 0.0000  8 Tb 3.01-3.15, 2 Ni 3.36
Ge2 0.5000 0.5000 0.0000  8 Tb 3.27-3.32

A relaxed structure of Pr2AgI. Source: Alexandria, functional PBE.

Summary:
Space group = R3m, No. 160
E_form (uncorrected) = -492.0 meV per atom

a b c (Å): 4.3018 4.3018 24.5173
angles (deg): 90.00 90.00 120.00
Last column: nearest neighbours and their distance in Å.
Atoms (fractional coordinates):
Pr1 0.0000 0.0000 0.0000  3 Ag 3.04, 3 I 3.39
Pr2 0.0000 0.0000 0.1890  3 Ag 3.06, 3 I 3.41
Pr3 0.3333 0.6667 0.6667  3 Ag 3.04, 3 I 3.39
Pr4 0.3333 0.6667 0.8556  3 Ag 3.06, 3 I 3.41
Pr5 0.6667 0.3333 0.3333  3 Ag 3.04, 3 I 3.39
Pr6 0.6667 0.3333 0.5223  3 Ag 3.06, 3 I 3.41
Ag1 0.0000 0.0000 0.5951  6 Pr 3.04-3.06
Ag2 0.3333 0.6667 0.2618  6 Pr 3.04-3.06
Ag3 0.6667 0.3333 0.9284  6 Pr 3.04-3.06
I1 0.0000 0.0000 0.4272  6 Pr 3.39-3.41
I2 0.3333 0.6667 0.0938  6 Pr 3.39-3.41
I3 0.6667 0.3333 0.7605  6 Pr 3.39-3.41

A relaxed structure of TmGaCl. Source: Alexandria, functional PBE.

Summary:
Space group = C2/m, No. 12
E_form (uncorrected) = -1043.8 meV per atom

a b c (Å): 11.3912 11.3912 7.4446
angles (deg): 93.95 93.95 19.50
Last column: nearest neighbours and their distance in Å.
Atoms (fractional coordinates):
Tm1 0.1449 0.1449 0.1097  3 Cl 2.62-2.89, 2 Ga 2.90
Tm2 0.1489 0.1489 0.5963  3 Cl 2.62-2.90, 2 Ga 2.90
Tm3 0.8511 0.8511 0.4037  3 Cl 2.62-2.90, 2 Ga 2.90
Tm4 0.8551 0.8551 0.8903  3 Cl 2.62-2.89, 2 Ga 2.90
Ga1 0.2546 0.2546 0.3674  4 Ga 2.69-2.78, 2 Tm 2.90
Ga2 0.2583 0.2583 0.8844  4 Ga 2.63-2.69, 2 Tm 2.90
Ga3 0.7417 0.7417 0.1156  4 Ga 2.63-2.69, 2 Tm 2.90
Ga4 0.7454 0.7454 0.6326  4 Ga 2.69-2.78, 2 Tm 2.90
Cl1 0.0669 0.0669 0.8305  2 Tm 2.62
Cl2 0.4059 0.4059 0.6556  4 Tm 2.89-2.90
Cl3 0.5941 0.5941 0.3444  4 Tm 2.89-2.90
Cl4 0.9331 0.9331 0.1695  2 Tm 2.62

A relaxed structure of TaI2OF. Source: Alexandria, functional PBE.

Summary:
Space group = P4/mmm, No. 123
E_form (uncorrected) = 885.4 meV per atom

a b c (Å): 5.2193 5.2193 3.5154
angles (deg): 90.00 90.00 90.00
Last column: nearest neighbours and their distance in Å.
Atoms (fractional coordinates):
Ta1 0.0000 0.0000 0.0000  8 I 3.15, 2 Ta 3.52
I1 0.0000 0.5000 0.5000  2 F 2.61
I2 0.5000 0.0000 0.5000  2 F 2.61
O1 0.5000 0.5000 0.0000  2 F 1.76
F1 0.5000 0.5000 0.5000  2 O 1.76

A relaxed structure of PIrW. Source: Alexandria, functional PBE.

Summary:
Calculated formation energy = 0.10 eV/atom
Space group = C2/m, No. 12

a b c (Å): 8.9188 2.9787 8.2351
angles (deg): 90.00 114.54 90.00
Last column: nearest neighbours and their distance in Å.
Atoms (fractional coordinates):
P1 0.1277 0.0000 0.3017  3 Ir 2.40-2.58, 2 W 2.53-2.62
P2 0.3723 0.5000 0.6983  3 Ir 2.40-2.58, 2 W 2.53-2.62
P3 0.6277 0.5000 0.3017  3 Ir 2.40-2.58, 2 W 2.53-2.62
P4 0.8723 0.0000 0.6983  3 Ir 2.40-2.58, 2 W 2.53-2.62
Ir1 0.0785 0.5000 0.6866  3 P 2.40-2.58
Ir2 0.4215 0.0000 0.3134  3 P 2.40-2.58
Ir3 0.5785 0.0000 0.6866  3 P 2.40-2.58
Ir4 0.9215 0.5000 0.3134  3 P 2.40-2.58
W1 0.1325 0.0000 0.9856  3 W 2.47-2.50, 2 P 2.53-2.62, 2 Ir 2.74
W2 0.3675 0.5000 0.0144  3 W 2.47-2.50, 2 P 2.53-2.62, 2 Ir 2.74
W3 0.6325 0.5000 0.9856  3 W 2.47-2.50, 2 P 2.53-2.62, 2 Ir 2.74
W4 0.8675 0.0000 0.0144  3 W 2.47-2.50, 2 P 2.53-2.62, 2 Ir 2.74

A relaxed structure of CsK2AlF6. Source: Alexandria, functional PBE.

Summary:
Space group = P2_1/c, No. 14
E_form (uncorrected) = -3147.5 meV per atom

a b c (Å): 6.1649 6.6741 10.7276
angles (deg): 90.00 124.25 90.00
Last column: nearest neighbours and their distance in Å.
Atoms (fractional coordinates):
Cs1 0.0000 0.0000 0.0000  6 F 2.83-3.14
Cs2 0.0000 0.5000 0.5000  6 F 2.83-3.14
K1 0.2215 0.0273 0.7287  6 F 2.66-2.79
K2 0.2215 0.4727 0.2287  6 F 2.66-2.79
K3 0.7785 0.5273 0.7713  6 F 2.66-2.79
K4 0.7785 0.9727 0.2713  6 F 2.66-2.79
Al1 0.5000 0.0000 0.5000  6 F 1.84-1.86
Al2 0.5000 0.5000 0.0000  6 F 1.84-1.86
F1 0.2300 0.1441 0.4820  1 Al 1.84
F2 0.2300 0.3559 0.9820  1 Al 1.84
F3 0.2663 0.7091 0.8939  1 Al 1.86
F4 0.2663 0.7909 0.3939  1 Al 1.86
F5 0.4268 0.1091 0.3216  1 Al 1.85
F6 0.4268 0.3909 0.8216  1 Al 1.85
F7 0.5732 0.6091 0.1784  1 Al 1.85
F8 0.5732 0.8909 0.6784  1 Al 1.85
F9 0.7337 0.2091 0.6061  1 Al 1.86
F10 0.7337 0.2909 0.1061  1 Al 1.86
F11 0.7700 0.6441 0.0180  1 Al 1.84
F12 0.7700 0.8559 0.5180  1 Al 1.84

A relaxed structure of K2ScZnTe4. Source: Alexandria, functional PBE.

Summary:
Space group = I-42m, No. 121
E_form (uncorrected) = -790.0 meV per atom

a b c (Å): 8.5250 8.5250 7.4250
angles (deg): 90.00 90.00 90.00
Last column: nearest neighbours and their distance in Å.
Atoms (fractional coordinates):
K1 0.0000 0.5000 0.0000  8 Te 3.62-3.72, 2 K 3.71
K2 0.0000 0.5000 0.5000  8 Te 3.62-3.72, 2 K 3.71
K3 0.5000 0.0000 0.0000  8 Te 3.62-3.72, 2 K 3.71
K4 0.5000 0.0000 0.5000  8 Te 3.62-3.72, 2 K 3.71
Sc1 0.0000 0.0000 0.0000  4 Te 2.83
Sc2 0.5000 0.5000 0.5000  4 Te 2.83
Zn1 0.0000 0.0000 0.5000  4 Te 2.70
Zn2 0.5000 0.5000 0.0000  4 Te 2.70
Te1 0.1698 0.1698 0.2635  1 Zn 2.70, 1 Sc 2.83
Te2 0.1698 0.8302 0.7365  1 Zn 2.70, 1 Sc 2.83
Te3 0.3302 0.3302 0.7635  1 Zn 2.70, 1 Sc 2.83
Te4 0.3302 0.6698 0.2365  1 Zn 2.70, 1 Sc 2.83
Te5 0.6698 0.3302 0.2365  1 Zn 2.70, 1 Sc 2.83
Te6 0.6698 0.6698 0.7635  1 Zn 2.70, 1 Sc 2.83
Te7 0.8302 0.1698 0.7365  1 Zn 2.70, 1 Sc 2.83
Te8 0.8302 0.8302 0.2635  1 Zn 2.70, 1 Sc 2.83

A relaxed structure of Pm2ThP3. Source: Alexandria, functional PBE.

Summary:
Calculated formation energy = -1.59 eV/atom
Space group = Immm, No. 71

a b c (Å): 4.1424 5.8533 12.3809
angles (deg): 90.00 90.00 90.00
Last column: nearest neighbours and their distance in Å.
Atoms (fractional coordinates):
Pm1 0.0000 0.0000 0.1670  6 P 2.93-2.94
Pm2 0.0000 0.0000 0.8330  6 P 2.93-2.94
Pm3 0.5000 0.5000 0.3330  6 P 2.93-2.94
Pm4 0.5000 0.5000 0.6670  6 P 2.93-2.94
Th1 0.0000 0.0000 0.5000  6 P 2.91-2.93
Th2 0.5000 0.5000 0.0000  6 P 2.91-2.93
P1 0.0000 0.5000 0.1647  2 Th 2.91, 4 Pm 2.93-2.94
P2 0.0000 0.5000 0.5000  2 Th 2.93, 4 Pm 2.93
P3 0.0000 0.5000 0.8353  2 Th 2.91, 4 Pm 2.93-2.94
P4 0.5000 0.0000 0.0000  2 Th 2.93, 4 Pm 2.93
P5 0.5000 0.0000 0.3353  2 Th 2.91, 4 Pm 2.93-2.94
P6 0.5000 0.0000 0.6647  2 Th 2.91, 4 Pm 2.93-2.94

A relaxed structure of PrZn9Cu2. Source: Alexandria, functional PBE.

Summary:
Calculated formation energy = -0.10 eV/atom
Space group = P6/mmm, No. 191

a b c (Å): 8.2676 8.2676 3.3806
angles (deg): 90.00 90.00 120.00
Last column: nearest neighbours and their distance in Å.
Atoms (fractional coordinates):
Pr1 0.0000 0.0000 0.0000  12 Zn 3.25, 2 Pr 3.38
Zn1 0.0000 0.5000 0.0000  2 Cu 2.39
Zn2 0.1936 0.3872 0.5000  2 Cu 2.62, 6 Zn 2.77-2.79
Zn3 0.1936 0.8064 0.5000  2 Cu 2.62, 6 Zn 2.77-2.79
Zn4 0.3872 0.1936 0.5000  2 Cu 2.62, 6 Zn 2.77-2.79
Zn5 0.5000 0.0000 0.0000  2 Cu 2.39
Zn6 0.5000 0.5000 0.0000  2 Cu 2.39
Zn7 0.6128 0.8064 0.5000  2 Cu 2.62, 6 Zn 2.77-2.79
Zn8 0.8064 0.1936 0.5000  2 Cu 2.62, 6 Zn 2.77-2.79
Zn9 0.8064 0.6128 0.5000  2 Cu 2.62, 6 Zn 2.77-2.79
Cu1 0.3333 0.6667 0.0000  9 Zn 2.39-2.62
Cu2 0.6667 0.3333 0.0000  9 Zn 2.39-2.62